# 1
This record from OQMD via LeMat-Bulk describes a geometry-optimized LiHg2Pd structure. The functional is GGA-PBE.

Cell lengths 4.4321, 4.4321, 10.1554 Å; angles 90.00, 90.00, 120.00 degrees
Last column: nearest neighbours and their distance in Å.
Space group P6_3/mmc (No. 194)
Asymmetric unit:
Li1 0.3333 0.6667 0.2500 x2  6 Hg 2.95
Hg1 0.3333 0.6667 0.6055 x4  3 Pd 2.77, 1 Hg 2.93, 3 Li 2.95
Pd1 0.0000 0.0000 0.0000 x2  6 Hg 2.77

---

# 2
This record from OQMD via LeMat-Bulk describes a geometry-optimized Li2HgPd structure. The functional is GGA-PBE.

Cell lengths 7.0784, 7.2493, 5.2754 Å; angles 90.00, 90.00, 90.00 degrees
Last column: nearest neighbours and their distance in Å.
Space group Pnma (No. 62)
Asymmetric unit:
Li1 0.1977 0.0526 0.0914 x8  3 Pd 2.53-2.57
Hg1 0.0330 0.2500 0.6100 x4  3 Pd 2.79-2.85, 4 Li 2.91-2.97
Pd1 0.0992 0.7500 0.8917 x4  6 Li 2.53-2.57, 2 Hg 2.79-2.81

---

# 3
This record from OQMD via LeMat-Bulk describes a geometry-optimized Li2HgPd structure. The functional is GGA-PBE.

Cell lengths 4.6201, 5.6812, 4.7311 Å; angles 90.00, 90.00, 90.00 degrees
Last column: nearest neighbours and their distance in Å.
Space group Pmmn (No. 59, origin choice 2)
Asymmetric unit:
Li1 0.2500 0.0006 0.1955 x4  4 Pd 2.74-2.77, 4 Hg 2.76, 4 Li 2.83-2.96
Hg1 0.2500 0.7500 0.6953 x2  8 Li 2.76, 4 Pd 2.84-2.97
Pd1 0.2500 0.2500 0.6991 x2  8 Li 2.74-2.77, 4 Hg 2.84-2.97

---

# 4
This record from OQMD via LeMat-Bulk describes a geometry-optimized LiHg2Pd structure. The functional is GGA-PBE.

Cell lengths 4.6276, 4.6276, 8.4357 Å; angles 90.00, 90.00, 120.00 degrees
Last column: nearest neighbours and their distance in Å.
Space group P6_3/mmc (No. 194)
Asymmetric unit:
Li1 0.0000 0.0000 0.0000 x2  6 Hg 2.77
Hg1 0.3333 0.6667 0.0856 x4  3 Li 2.77, 4 Hg 2.77-3.04, 4 Pd 2.83-3.01
Pd1 0.3333 0.6667 0.7500 x2  8 Hg 2.83-3.01

---

no.,E_tot (eV per atom)
1,-2.09
2,-2.66
3,-2.74
4,-2.09